(1)
The following is a DFT calculation (PBE) of TmThGa2Au2 after structural relaxation.

```
6
Lattice="4.517 0.000 0.000 -2.259 3.912 0.000 0.000 0.000 7.401" Properties=species:S:1:pos:R:3 pbc="T T T"
Tm 0.000 0.000 0.000
Th 0.000 0.000 3.700
Ga 0.000 2.608 1.799
Ga 2.259 1.304 5.602
Au 0.000 2.608 5.786
Au 2.259 1.304 1.615
```

Values from the calculation:
- formation enthalpy at 0 K (eV/atom) = -0.73
- crystal system = trigonal
- symmetry = P-3m1 (164)

=====

(2)
The following is a DFT calculation (PBE) of YThGaAu after structural relaxation.

```
4
Lattice="4.476 0.000 0.000 0.000 2.027 5.587 0.000 -2.027 5.587" Properties=species:S:1:pos:R:3 pbc="T T T"
Y 0.000 0.000 0.000
Th 2.238 0.000 8.031
Ga 0.000 0.000 3.166
Au 2.238 0.000 4.949
```

Values from the calculation:
- formation enthalpy at 0 K (eV/atom) = -0.64
- crystal system = orthorhombic
- symmetry = Amm2 (38)

=====

(3)
The following is a DFT calculation (PBE) of YThGaAu after structural relaxation.

```
4
Lattice="0.000 3.678 3.678 3.678 0.000 3.678 3.678 3.678 0.000" Properties=species:S:1:pos:R:3 pbc="T T T"
Y 0.000 0.000 0.000
Th 3.678 3.678 3.678
Ga 5.516 5.516 5.516
Au 1.839 1.839 1.839
```

Values from the calculation:
- formation enthalpy at 0 K (eV/atom) = -0.55
- crystal system = cubic
- symmetry = F-43m (216)

=====

(4)
The following is a DFT calculation (PBE) of Th2Zn3GaAu4 after structural relaxation.

```
10
Lattice="4.412 0.000 0.000 0.000 4.412 0.000 0.000 0.000 10.536" Properties=species:S:1:pos:R:3 pbc="T T T"
Th 0.000 2.206 2.594
Th 2.206 0.000 7.942
Zn 0.000 2.206 9.151
Zn 2.206 0.000 1.385
Zn 2.206 2.206 5.268
Ga 0.000 0.000 5.268
Au 0.000 0.000 0.000
Au 0.000 2.206 6.659
Au 2.206 0.000 3.877
Au 2.206 2.206 0.000
```

Values from the calculation:
- formation enthalpy at 0 K (eV/atom) = -0.47
- crystal system = tetragonal
- symmetry = P-4m2 (115)

=====

(5)
The following is a DFT calculation (PBE) of ThZnGaAu after structural relaxation.

```
4
Lattice="0.000 3.493 3.493 3.493 0.000 3.493 3.493 3.493 0.000" Properties=species:S:1:pos:R:3 pbc="T T T"
Th 0.000 0.000 0.000
Zn 1.746 1.746 1.746
Ga 3.493 3.493 3.493
Au 5.239 5.239 5.239
```

Values from the calculation:
- formation enthalpy at 0 K (eV/atom) = -0.40
- crystal system = cubic
- symmetry = F-43m (216)

=====

(6)
The following is a DFT calculation (PBE) of ThZn3GaAu after structural relaxation.

```
12
Lattice="3.093 -6.544 0.000 3.093 6.544 0.000 0.000 0.000 5.938" Properties=species:S:1:pos:R:3 pbc="T T T"
Th 3.093 3.885 4.454
Th 3.093 -3.885 1.485
Zn 1.226 0.000 0.000
Zn 1.226 0.000 2.969
Zn 3.093 1.612 1.485
Zn 3.093 -1.612 4.454
Zn 4.959 0.000 0.000
Zn 4.959 0.000 2.969
Ga 3.093 1.032 4.454
Ga 3.093 -1.032 1.485
Au 3.093 4.291 1.485
Au 3.093 -4.291 4.454
```

Values from the calculation:
- formation enthalpy at 0 K (eV/atom) = -0.14
- crystal system = orthorhombic
- symmetry = Cmcm (63)